VASP calculation (PBE-GGA) on a relaxed structure of HoCuPb2.

Spin magnetization ... 0.00 μB per atom
Density of states at the Fermi level ... 0.3189 states/eV/atom
Calculated formation energy ... -149 meV per atom
Energy above the lowest structure with this stoichiometry ... 0 meV/atom
Crystal system ... tetragonal

a = 4.4238 Å, b = 4.6924 Å, c = 4.6924 Å
α = 90.00°, β = 90.00°, γ = 90.00°
Closest atoms and distances in Å follow each position.
Atoms (fractional coordinates):
Cu  0.5000  0.5000  0.5000  8 Pb 3.22, 4 Ho 3.32
Pb  0.0000  0.0000  0.5000  4 Ho 3.22, 4 Cu 3.22, 4 Pb 3.32
Ho  0.5000  0.0000  0.0000  8 Pb 3.22, 4 Cu 3.32
Pb  0.0000  0.5000  0.0000  4 Ho 3.22, 4 Cu 3.22, 4 Pb 3.32